# FeSiSb2

A relaxed structure of FeSiSb2 (GGA-PBE, Alexandria via LeMat-Bulk).

Lattice parameters (Å, degrees): 3.1994 3.2129 8.0377 66.44 90.00 90.00
Closest atoms and distances in Å follow each position.
Element x y z (fractional)
Fe  0.5000  0.7500  0.7500  8 Sb 2.76
Sb  0.0000  0.0354  0.9646  4 Fe 2.76, 4 Si 3.09
Sb  0.0000  0.4646  0.5354  4 Fe 2.76, 4 Si 3.09
Si  0.5000  0.2500  0.2500  8 Sb 3.09, 4 Si 3.20-3.21

Calculated values
* formation energy without anion corrections: 409 meV per atom
* final energy: -5.12 eV per atom

# FeSiSb2

A relaxed structure of FeSiSb2 (GGA-PBE, Alexandria via LeMat-Bulk).

Lattice parameters (Å, degrees): 7.1777 5.3584 3.0221 77.32 84.64 130.05
Closest atoms and distances in Å follow each position.
Element x y z (fractional)
Fe  0.5000  0.5000  0.0000  4 Sb 2.77, 2 Fe 3.02
Sb  0.0000  0.0000  0.0000  2 Si 2.77, 2 Fe 2.77, 2 Sb 3.02
Sb  0.5000  0.0000  0.5000  2 Fe 2.77, 2 Si 2.77, 2 Sb 3.02
Si  0.0000  0.5000  0.5000  4 Sb 2.77, 2 Si 3.02

Calculated values
* formation energy without anion corrections: 546 meV per atom
* final energy: -4.99 eV per atom

# FeSiSb

A relaxed structure of FeSiSb (GGA-PBE, Alexandria via LeMat-Bulk).

Lattice parameters (Å, degrees): 3.6966 2.8515 9.9926 90.00 90.00 90.00
Closest atoms and distances in Å follow each position.
Element x y z (fractional)
Sb  0.2500  0.5000  0.3572  1 Fe 2.56, 2 Sb 2.85
Sb  0.7500  0.5000  0.6428  1 Fe 2.56, 2 Sb 2.85
Si  0.2500  0.0000  0.9044  6 Fe 2.33-2.43
Si  0.7500  0.0000  0.0956  6 Fe 2.33-2.43
Fe  0.2500  0.5000  0.1011  6 Si 2.33-2.43, 1 Sb 2.56
Fe  0.7500  0.5000  0.8989  6 Si 2.33-2.43, 1 Sb 2.56

Calculated values
* formation energy without anion corrections: -95 meV per atom
* final energy: -6.10 eV per atom

# FeSiSb

A relaxed structure of FeSiSb (GGA-PBE, Alexandria via LeMat-Bulk).

Lattice parameters (Å, degrees): 4.0244 4.0244 3.7208 90.00 90.00 120.00
Closest atoms and distances in Å follow each position.
Element x y z (fractional)
Fe  0.0000  0.0000  0.8323  3 Si 2.32
Sb  0.6667  0.3333  0.3340  6 Fe 2.97-2.98, 6 Si 2.98
Si  0.3333  0.6667  0.8337  3 Fe 2.32

Calculated values
* formation energy without anion corrections: 294 meV per atom
* final energy: -5.71 eV per atom

# FeSi2Sb

A relaxed structure of FeSi2Sb (GGA-PBE, Alexandria via LeMat-Bulk).

Lattice parameters (Å, degrees): 4.0755 4.0755 5.4189 80.43 80.43 50.22
Closest atoms and distances in Å follow each position.
Element x y z (fractional)
Fe  0.7500  0.7500  0.7500  6 Si 2.36-2.37
Sb  0.2500  0.2500  0.2500  2 Si 2.74
Si  0.0352  0.0352  0.8883  3 Fe 2.36-2.37, 2 Si 2.41
Si  0.4648  0.4648  0.6117  3 Fe 2.36-2.37, 2 Si 2.41

Calculated values
* formation energy without anion corrections: 211 meV per atom
* final energy: -5.65 eV per atom

# FeSi2Sb

A relaxed structure of FeSi2Sb (GGA-PBE, Alexandria via LeMat-Bulk).

Lattice parameters (Å, degrees): 2.9449 2.9449 7.2589 90.00 90.00 89.99
Closest atoms and distances in Å follow each position.
Element x y z (fractional)
Fe  0.5000  0.5000  0.2500  8 Si 2.45
Sb  0.5000  0.5000  0.7500  4 Sb 2.94, 8 Si 3.13
Si  0.0000  0.0000  0.0716  4 Fe 2.45, 1 Si 2.59
Si  0.0000  0.0000  0.4284  4 Fe 2.45, 1 Si 2.59

Calculated values
* formation energy without anion corrections: 153 meV per atom
* final energy: -5.70 eV per atom

# FeSiSb2

A relaxed structure of FeSiSb2 (GGA-PBE, Alexandria via LeMat-Bulk).

Lattice parameters (Å, degrees): 6.4882 6.4882 6.4882 152.27 140.90 48.60
Closest atoms and distances in Å follow each position.
Element x y z (fractional)
Fe  0.7365  0.2365  0.5000  2 Si 2.43, 4 Sb 2.67
Sb  0.9408  0.9408  0.0000  2 Fe 2.87, 4 Sb 3.11-3.18, 4 Si 3.13
Sb  0.2438  0.7438  0.5000  4 Fe 2.67, 2 Si 2.92
Si  0.5789  0.5789  0.0000  2 Fe 2.43

Calculated values
* formation energy without anion corrections: 349 meV per atom
* final energy: -5.18 eV per atom

# FeSiSb

A relaxed structure of FeSiSb (GGA-PBE, Alexandria via LeMat-Bulk).

Lattice parameters (Å, degrees): 3.0704 3.6162 9.4849 90.00 90.23 90.00
Closest atoms and distances in Å follow each position.
Element x y z (fractional)
Sb  0.5047  0.2500  0.3330  2 Fe 2.78, 2 Si 2.80, 2 Sb 3.07
Sb  0.4953  0.7500  0.6670  2 Fe 2.78, 2 Si 2.80, 2 Sb 3.07
Si  0.0012  0.2500  0.0856  6 Fe 2.38-2.41, 2 Si 2.43
Si  0.9988  0.7500  0.9144  6 Fe 2.38-2.41, 2 Si 2.43
Fe  0.4985  0.2500  0.8892  6 Si 2.38-2.41
Fe  0.5015  0.7500  0.1108  6 Si 2.38-2.41

Calculated values
* formation energy without anion corrections: -72 meV per atom
* final energy: -6.07 eV per atom

# FeSiSb2Te

A relaxed structure of FeSiSb2Te (GGA-PBE, Alexandria via LeMat-Bulk).

Lattice parameters (Å, degrees): 4.7495 4.7495 5.5150 90.00 90.00 90.00
Closest atoms and distances in Å follow each position.
Element x y z (fractional)
Sb  0.0000  0.5000  0.0000  2 Fe 2.37
Sb  0.5000  0.0000  0.0000  2 Fe 2.37
Si  0.5000  0.5000  0.5000  4 Te 3.36, 8 Sb 3.64
Te  0.0000  0.0000  0.5000  2 Fe 2.76
Fe  0.0000  0.0000  0.0000  4 Sb 2.37

Calculated values
* energy relative to the lowest polymorph listed for this composition: 0 meV/atom
* formation energy without anion corrections: 659 meV per atom
* final energy: -4.40 eV per atom

# FeSiSb2Te

A relaxed structure of FeSiSb2Te (GGA-PBE, Alexandria via LeMat-Bulk).

Lattice parameters (Å, degrees): 5.1862 5.1862 5.1743 90.00 90.00 90.00
Closest atoms and distances in Å follow each position.
Element x y z (fractional)
Sb  0.0000  0.5000  0.0000  2 Si 2.59
Sb  0.5000  0.0000  0.0000  2 Si 2.59
Si  0.0000  0.0000  0.0000  2 Te 2.59, 4 Sb 2.59
Te  0.0000  0.0000  0.5000  2 Si 2.59
Fe  0.5000  0.5000  0.5000  8 Sb 3.66, 4 Te 3.67

Calculated values
* energy relative to the lowest polymorph listed for this composition: 367 meV/atom
* formation energy without anion corrections: 1026 meV per atom
* final energy: -4.03 eV per atom

# FeSiSbTe2

A relaxed structure of FeSiSbTe2 (GGA-PBE, Alexandria via LeMat-Bulk).

Lattice parameters (Å, degrees): 5.1745 5.1745 5.1523 90.00 90.00 90.00
Closest atoms and distances in Å follow each position.
Element x y z (fractional)
Sb  0.0000  0.0000  0.5000  2 Si 2.58
Si  0.0000  0.0000  0.0000  2 Sb 2.58, 4 Te 2.59
Te  0.0000  0.5000  0.0000  2 Si 2.59
Te  0.5000  0.0000  0.0000  2 Si 2.59
Fe  0.5000  0.5000  0.5000  8 Te 3.65, 4 Sb 3.66

Calculated values
* energy relative to the lowest polymorph listed for this composition: 584 meV/atom
* formation energy without anion corrections: 1264 meV per atom
* final energy: -3.59 eV per atom

# FeSiSbTe2

A relaxed structure of FeSiSbTe2 (GGA-PBE, Alexandria via LeMat-Bulk).

Lattice parameters (Å, degrees): 5.1071 5.1071 4.8830 90.00 90.00 90.00
Closest atoms and distances in Å follow each position.
Element x y z (fractional)
Sb  0.0000  0.0000  0.5000  2 Fe 2.44
Si  0.5000  0.5000  0.5000  8 Te 3.53, 4 Sb 3.61
Te  0.0000  0.5000  0.0000  2 Fe 2.55
Te  0.5000  0.0000  0.0000  2 Fe 2.55
Fe  0.0000  0.0000  0.0000  2 Sb 2.44, 4 Te 2.55

Calculated values
* energy relative to the lowest polymorph listed for this composition: 0 meV/atom
* formation energy without anion corrections: 681 meV per atom
* final energy: -4.18 eV per atom

# Ti2FeSiSb

A relaxed structure of Ti2FeSiSb (GGA-PBE, Alexandria via LeMat-Bulk).

Lattice parameters (Å, degrees): 4.6798 4.2472 4.6798 90.00 90.00 90.00
Closest atoms and distances in Å follow each position.
Element x y z (fractional)
Sb  0.5000  0.5000  0.5000  8 Ti 3.16, 4 Fe 3.31
Si  0.0000  0.0000  0.0000  2 Fe 2.12, 4 Ti 2.34
Fe  0.0000  0.5000  0.0000  2 Si 2.12
Ti  0.0000  0.0000  0.5000  2 Si 2.34
Ti  0.5000  0.0000  0.0000  2 Si 2.34

Calculated values
* formation energy without anion corrections: 143 meV per atom
* final energy: -6.62 eV per atom

# FeSiSb2W

A relaxed structure of FeSiSb2W (GGA-PBE, Alexandria via LeMat-Bulk).

Lattice parameters (Å, degrees): 4.7278 4.7291 4.7278 90.00 90.00 90.00
Closest atoms and distances in Å follow each position.
Element x y z (fractional)
Sb  0.0000  0.0000  0.5000  2 Fe 2.36
Sb  0.5000  0.0000  0.0000  2 Fe 2.36
Si  0.5000  0.5000  0.5000  4 W 3.34, 8 Sb 3.34
Fe  0.0000  0.0000  0.0000  4 Sb 2.36, 2 W 2.36
W  0.0000  0.5000  0.0000  2 Fe 2.36

Calculated values
* formation energy without anion corrections: 1138 meV per atom
* final energy: -5.88 eV per atom

# SmFeSb3

A relaxed structure of SmFeSb3 (GGA-PBE, Alexandria via LeMat-Bulk).

Lattice parameters (Å, degrees): 6.0425 6.1339 12.7020 90.00 90.00 90.00
Closest atoms and distances in Å follow each position.
Element x y z (fractional)
Sm  0.7500  0.5015  0.6949  9 Sb 3.22-3.30, 2 Fe 3.41
Sm  0.2500  0.4985  0.3051  9 Sb 3.22-3.30, 2 Fe 3.41
Sm  0.7500  0.0015  0.3051  9 Sb 3.22-3.30, 2 Fe 3.41
Sm  0.2500  0.9985  0.6949  9 Sb 3.22-3.30, 2 Fe 3.41
Fe  0.5000  0.2500  0.0961  6 Sb 2.63-2.65
Fe  0.0000  0.7500  0.9039  6 Sb 2.63-2.65
Fe  0.5000  0.7500  0.9039  6 Sb 2.63-2.65
Fe  0.0000  0.2500  0.0961  6 Sb 2.63-2.65
Sb  0.0000  0.2500  0.4987  4 Sb 3.02-3.07, 4 Sm 3.26-3.30
Sb  0.5000  0.7500  0.5013  4 Sb 3.02-3.07, 4 Sm 3.26-3.30
Sb  0.0000  0.7500  0.5013  4 Sb 3.02-3.07, 4 Sm 3.26-3.30
Sb  0.5000  0.2500  0.4987  4 Sb 3.02-3.07, 4 Sm 3.26-3.30
Sb  0.2500  0.0944  0.9439  4 Fe 2.63-2.65
Sb  0.7500  0.9056  0.0561  4 Fe 2.63-2.65
Sb  0.2500  0.5944  0.0561  4 Fe 2.63-2.65
Sb  0.7500  0.4056  0.9439  4 Fe 2.63-2.65
Sb  0.2500  0.4974  0.7838  2 Fe 2.65
Sb  0.7500  0.5026  0.2162  2 Fe 2.65
Sb  0.2500  0.9974  0.2162  2 Fe 2.65
Sb  0.7500  0.0026  0.7838  2 Fe 2.65

Calculated values
* formation energy without anion corrections: -465 meV per atom
* final energy: -5.57 eV per atom

# Sm3FeSb

A relaxed structure of Sm3FeSb (GGA-PBE, Alexandria via LeMat-Bulk).

Lattice parameters (Å, degrees): 5.1595 5.1595 5.1595 90.00 90.00 90.00
Closest atoms and distances in Å follow each position.
Element x y z (fractional)
Sb  0.5000  0.5000  0.5000  12 Sm 3.65
Fe  0.0000  0.0000  0.0000  6 Sm 2.58
Sm  0.0000  0.5000  0.0000  2 Fe 2.58
Sm  0.0000  0.0000  0.5000  2 Fe 2.58
Sm  0.5000  0.0000  0.0000  2 Fe 2.58

Calculated values
* formation energy without anion corrections: -255 meV per atom
* final energy: -5.60 eV per atom

# FeSnSb3

A relaxed structure of FeSnSb3 (GGA-PBE, Alexandria via LeMat-Bulk).

Lattice parameters (Å, degrees): 6.7736 6.7738 7.2908 104.14 104.14 122.77
Closest atoms and distances in Å follow each position.
Element x y z (fractional)
Fe  0.0943  0.8781  0.5755  1 Sn 2.52, 5 Sb 2.52-2.61
Fe  0.3376  0.6348  0.0755  1 Sn 2.52, 5 Sb 2.52-2.61
Sn  0.5366  0.1067  0.1640  1 Fe 2.52
Sn  0.5662  0.0771  0.6640  1 Fe 2.52
Sb  0.0018  0.5984  0.2005  2 Fe 2.57-2.61
Sb  0.6208  0.6976  0.4188  2 Fe 2.52-2.53
Sb  0.1571  0.1613  0.9188  2 Fe 2.52-2.53
Sb  0.1931  0.2395  0.4661  1 Fe 2.55
Sb  0.6990  0.7336  0.9661  1 Fe 2.55
Sb  0.0579  0.5423  0.7005  2 Fe 2.57-2.61

Calculated values
* energy relative to the lowest polymorph listed for this composition: 0 meV/atom
* formation energy without anion corrections: 108 meV per atom
* final energy: -4.86 eV per atom

# Fe2SnSb

A relaxed structure of Fe2SnSb (GGA-PBE, Alexandria via LeMat-Bulk).

Lattice parameters (Å, degrees): 7.1372 7.1372 5.9224 52.95 52.95 90.00
Closest atoms and distances in Å follow each position.
Element x y z (fractional)
Sb  0.0000  0.0000  0.0000  4 Fe 2.61
Sb  0.7500  0.2500  0.5000  4 Fe 2.61
Sn  0.5000  0.5000  0.0000  4 Fe 2.67
Sn  0.2500  0.7500  0.5000  4 Fe 2.67
Fe  0.6318  0.1250  0.2500  2 Sb 2.61, 2 Sn 2.67
Fe  0.1182  0.6250  0.2500  2 Sb 2.61, 2 Sn 2.67
Fe  0.3750  0.3682  0.7500  2 Sb 2.61, 2 Sn 2.67
Fe  0.8750  0.8818  0.7500  2 Sb 2.61, 2 Sn 2.67

Calculated values
* energy relative to the lowest polymorph listed for this composition: 273 meV/atom
* formation energy without anion corrections: 630 meV per atom
* final energy: -5.63 eV per atom

# Fe2Sn2Sb

A relaxed structure of Fe2Sn2Sb (GGA-PBE, Alexandria via LeMat-Bulk).

Lattice parameters (Å, degrees): 7.0225 7.0225 4.0210 90.00 90.00 90.00
Closest atoms and distances in Å follow each position.
Element x y z (fractional)
Sb  0.0000  0.0000  0.0000  4 Fe 2.79
Sb  0.5000  0.5000  0.0000  4 Fe 2.79
Sn  0.1626  0.6626  0.5000  6 Fe 2.85-2.93
Sn  0.6626  0.8374  0.5000  6 Fe 2.85-2.93
Sn  0.8374  0.3374  0.5000  6 Fe 2.85-2.93
Sn  0.3374  0.1626  0.5000  6 Fe 2.85-2.93
Fe  0.3775  0.8775  0.0000  1 Fe 2.43
Fe  0.8775  0.6225  0.0000  1 Fe 2.43
Fe  0.6225  0.1225  0.0000  1 Fe 2.43
Fe  0.1225  0.3775  0.0000  1 Fe 2.43

Calculated values
* formation energy without anion corrections: 268 meV per atom
* final energy: -5.54 eV per atom

# Fe2SnSb

A relaxed structure of Fe2SnSb (GGA-PBE, Alexandria via LeMat-Bulk).

Lattice parameters (Å, degrees): 4.4811 4.4811 4.4811 60.00 60.00 60.00
Closest atoms and distances in Å follow each position.
Element x y z (fractional)
Sb  0.5000  0.5000  0.5000  8 Fe 2.74
Sn  0.0000  0.0000  0.0000  8 Fe 2.74
Fe  0.2500  0.2500  0.2500  4 Sn 2.74, 4 Sb 2.74
Fe  0.7500  0.7500  0.7500  4 Sb 2.74, 4 Sn 2.74

Calculated values
* energy relative to the lowest polymorph listed for this composition: 0 meV/atom
* formation energy without anion corrections: 357 meV per atom
* final energy: -5.91 eV per atom